Entry 1:
Here is a geometry-optimized Dy3Pd13 structure from the Alexandria database. Energies are from PBE.

Unit cell a=8.4451 b=5.7143 c=5.7143 alpha=86.45 beta=90.00 gamma=90.00
Atoms (fractional coordinates):
Dy 0.0000 0.0000 0.0000
Dy 0.2708 0.3097 0.3097
Dy 0.7292 0.3097 0.3097
Pd 0.0000 0.0440 0.5086
Pd 0.0000 0.5086 0.0440
Pd 0.0000 0.5471 0.5471
Pd 0.2487 0.7870 0.7870
Pd 0.2542 0.2923 0.8037
Pd 0.2542 0.8037 0.2923
Pd 0.5000 0.0306 0.5611
Pd 0.5000 0.0448 0.0448
Pd 0.5000 0.5502 0.5502
Pd 0.5000 0.5611 0.0306
Pd 0.7458 0.2923 0.8037
Pd 0.7458 0.8037 0.2923
Pd 0.7513 0.7870 0.7870

Calculated values
The value obtained for the volume is 275.2 Å³ per cell. The total energy comes out at -5.656 eV/atom. As for the magnetic moment: 0.00 μB/atom. Its density of states at the Fermi level is 10.5 states/eV per cell.



Entry 2:
Here is a geometry-optimized EuTcH3 structure from the Alexandria database. Energies are from PBE.

Unit cell a=3.7231 b=3.7231 c=3.7231 alpha=90.00 beta=90.00 gamma=90.00
Atoms (fractional coordinates):
Eu 0.0000 0.0000 0.0000
Tc 0.5000 0.5000 0.5000
H 0.0000 0.5000 0.5000
H 0.5000 0.0000 0.5000
H 0.5000 0.5000 0.0000

Calculated values
The value obtained for the volume is 51.6 Å³ per cell. The total energy comes out at -6.440 eV/atom. As for the magnetic moment: 1.25 μB/atom. Its density of states at the Fermi level is 6.4 states/eV per cell.



Entry 3:
Here is a geometry-optimized Sc2Ge2F structure from the Alexandria database. Energies are from PBE.

Unit cell a=6.4726 b=6.4726 c=4.2356 alpha=90.00 beta=90.00 gamma=90.00
Atoms (fractional coordinates):
Sc 0.1752 0.3248 0.0000
Sc 0.3248 0.8248 0.0000
Sc 0.6752 0.1752 0.0000
Sc 0.8248 0.6752 0.0000
Ge 0.1356 0.6356 0.5000
Ge 0.3644 0.1356 0.5000
Ge 0.6356 0.8644 0.5000
Ge 0.8644 0.3644 0.5000
F 0.0000 0.0000 0.0000
F 0.5000 0.5000 0.0000

Calculated values
As for the uncorrected formation energy: -1327 meV/atom. The value obtained for the volume is 177.5 Å³ per cell. As for the magnetic moment: 0.00 μB/atom. Its density of states at the Fermi level is 5.5 states/eV per cell.



Entry 4:
Here is a geometry-optimized MgTc4Ir structure from the Alexandria database. Energies are from PBE.

Unit cell a=5.1138 b=5.1138 c=5.1138 alpha=60.00 beta=60.00 gamma=60.00
Atoms (fractional coordinates):
Mg 0.0000 0.0000 0.0000
Tc 0.1232 0.6256 0.6256
Tc 0.6256 0.1232 0.6256
Tc 0.6256 0.6256 0.1232
Tc 0.6256 0.6256 0.6256
Ir 0.2500 0.2500 0.2500

Calculated values
The value obtained for the volume is 94.6 Å³ per cell. The total energy comes out at -8.370 eV/atom. As for the magnetic moment: 0.00 μB/atom. Its density of states at the Fermi level is 6.4 states/eV per cell.



Entry 5:
Here is a geometry-optimized Ca3ZnF structure from the Alexandria database. Energies are from PBE.

Unit cell a=4.9681 b=4.9681 c=4.9681 alpha=90.00 beta=90.00 gamma=90.00
Atoms (fractional coordinates):
Ca 0.0000 0.0000 0.5000
Ca 0.0000 0.5000 0.0000
Ca 0.5000 0.0000 0.0000
Zn 0.5000 0.5000 0.5000
F 0.0000 0.0000 0.0000

Calculated values
As for the uncorrected formation energy: -1063 meV/atom. The value obtained for the volume is 122.6 Å³ per cell. As for the magnetic moment: 0.00 μB/atom. Its density of states at the Fermi level is 5.4 states/eV per cell.



Entry 6:
Here is a geometry-optimized NaReB3 structure from the Alexandria database. Energies are from PBE.

Unit cell a=4.1649 b=4.1649 c=4.1649 alpha=90.00 beta=90.00 gamma=90.00
Atoms (fractional coordinates):
Na 0.0000 0.0000 0.0000
Re 0.5000 0.5000 0.5000
B 0.0000 0.5000 0.5000
B 0.5000 0.0000 0.5000
B 0.5000 0.5000 0.0000

Calculated values
The value obtained for the volume is 72.2 Å³ per cell. The total energy comes out at -6.138 eV/atom. As for the magnetic moment: 0.00 μB/atom. Its density of states at the Fermi level is 1.7 states/eV per cell.